Below is a geometry-optimized InReAg2 structure, with properties calculated at the PBE-GGA level.

Calculated values
Calculated volume = 17.840 Å³ per atom
Density of states at the Fermi level = 0.803 states/eV per atom
Energy relative to the elements = 0.5335 eV per atom

a b c (Å): 2.934 4.844 5.021
angles (deg): 90.00 90.00 90.00
Atoms (fractional coordinates):
In (0.000, 0.000, 0.000)
Re (0.500, 0.500, 0.000)
Ag (0.000, 0.500, 0.500)
Ag (0.500, 0.000, 0.500)